Entry 1:
Compound: LuP5O14
Source: the Alexandria database
Functional: PBE
Structure: optimized geometry

Lattice parameters (Å, degrees): 9.136 9.136 12.470 88.97 88.97 89.55
Sites, in units of the cell vectors:
Lu: 0.019 0.981 0.250
Lu: 0.981 0.019 0.750
Lu: 0.466 0.534 0.250
Lu: 0.534 0.466 0.750
P: 0.183 0.449 0.890
P: 0.319 0.979 0.893
P: 0.021 0.681 0.607
P: 0.420 0.927 0.241
P: 0.175 0.114 0.499
P: 0.073 0.580 0.259
P: 0.580 0.073 0.759
P: 0.625 0.329 0.035
P: 0.681 0.021 0.107
P: 0.375 0.671 0.965
P: 0.329 0.625 0.535
P: 0.927 0.420 0.741
P: 0.551 0.817 0.610
P: 0.817 0.551 0.110
P: 0.114 0.175 0.999
P: 0.449 0.183 0.390
P: 0.979 0.319 0.393
P: 0.825 0.886 0.501
P: 0.671 0.375 0.465
P: 0.886 0.825 0.001
O: 0.576 0.373 0.926
O: 0.673 0.158 0.028
O: 0.533 0.353 0.134
O: 0.847 0.652 0.007
O: 0.523 0.971 0.662
O: 0.777 0.472 0.769
O: 0.985 0.859 0.091
O: 0.528 0.223 0.731
O: 0.782 0.036 0.197
O: 0.484 0.006 0.860
O: 0.015 0.141 0.909
O: 0.265 0.959 0.216
O: 0.327 0.842 0.972
O: 0.472 0.777 0.269
O: 0.006 0.484 0.360
O: 0.959 0.265 0.716
O: 0.856 0.926 0.387
O: 0.699 0.607 0.182
O: 0.735 0.041 0.784
O: 0.144 0.074 0.613
O: 0.859 0.985 0.591
O: 0.141 0.015 0.409
O: 0.607 0.699 0.682
O: 0.074 0.144 0.113
O: 0.348 0.153 0.493
O: 0.971 0.523 0.162
O: 0.393 0.301 0.318
O: 0.788 0.398 0.057
O: 0.994 0.516 0.640
O: 0.647 0.467 0.366
O: 0.424 0.627 0.074
O: 0.373 0.576 0.426
O: 0.279 0.106 0.973
O: 0.467 0.647 0.866
O: 0.212 0.602 0.943
O: 0.842 0.327 0.472
O: 0.477 0.029 0.338
O: 0.353 0.533 0.634
O: 0.158 0.673 0.528
O: 0.602 0.212 0.443
O: 0.153 0.348 0.993
O: 0.041 0.735 0.284
O: 0.398 0.788 0.557
O: 0.223 0.528 0.231
O: 0.301 0.393 0.818
O: 0.652 0.847 0.507
O: 0.029 0.477 0.838
O: 0.894 0.721 0.527
O: 0.106 0.279 0.473
O: 0.218 0.964 0.803
O: 0.036 0.782 0.697
O: 0.627 0.424 0.574
O: 0.721 0.894 0.027
O: 0.926 0.856 0.887
O: 0.516 0.994 0.140
O: 0.964 0.218 0.303

Values from the calculation:
As for the formation energy from raw total energies: -46.8 eV/f.u. As for the space group: No. 15. The uncorrected energy comes out at -591.077 eV for the cell shown. The calculation puts the energy above the lowest structure with this stoichiometry at 0.0 meV/atom.

---

Entry 2:
Compound: Rb3LuP2O8
Source: the Alexandria database
Functional: PBE
Structure: optimized geometry

Lattice parameters (Å, degrees): 5.671 5.671 8.246 90.00 90.00 120.00
Sites, in units of the cell vectors:
Rb: 0.000 0.000 0.500
Rb: 0.333 0.667 0.260
Rb: 0.667 0.333 0.740
Lu: 0.000 0.000 0.000
P: 0.333 0.667 0.782
P: 0.667 0.333 0.218
O: 0.633 0.817 0.847
O: 0.183 0.367 0.847
O: 0.183 0.817 0.847
O: 0.367 0.183 0.153
O: 0.817 0.633 0.153
O: 0.817 0.183 0.153
O: 0.333 0.667 0.596
O: 0.667 0.333 0.404

Values from the calculation:
As for the formation energy from raw total energies: -36.1 eV/f.u. As for the space group: No. 164. The uncorrected energy comes out at -94.051 eV for the cell shown.

---

Entry 3:
Compound: RbLuP2O7
Source: the Alexandria database
Functional: PBE
Structure: optimized geometry

Lattice parameters (Å, degrees): 10.847 7.829 8.719 74.09 90.00 90.00
Sites, in units of the cell vectors:
Rb: 0.679 0.187 0.937
Rb: 0.821 0.187 0.437
Rb: 0.179 0.813 0.563
Rb: 0.321 0.813 0.063
Lu: 0.100 0.236 0.746
Lu: 0.900 0.764 0.254
Lu: 0.600 0.764 0.754
Lu: 0.400 0.236 0.246
P: 0.867 0.568 0.687
P: 0.099 0.128 0.180
P: 0.133 0.432 0.313
P: 0.633 0.568 0.187
P: 0.401 0.128 0.680
P: 0.367 0.432 0.813
P: 0.901 0.872 0.820
P: 0.599 0.872 0.320
O: 0.498 0.000 0.776
O: 0.772 0.921 0.752
O: 0.092 0.148 0.002
O: 0.572 0.385 0.233
O: 0.928 0.385 0.733
O: 0.437 0.322 0.703
O: 0.769 0.555 0.235
O: 0.937 0.678 0.797
O: 0.728 0.921 0.252
O: 0.908 0.852 0.998
O: 0.109 0.328 0.486
O: 0.998 0.000 0.724
O: 0.002 0.000 0.276
O: 0.563 0.678 0.297
O: 0.891 0.672 0.514
O: 0.502 0.000 0.224
O: 0.731 0.555 0.735
O: 0.269 0.445 0.265
O: 0.231 0.445 0.765
O: 0.609 0.672 0.014
O: 0.072 0.615 0.267
O: 0.228 0.079 0.248
O: 0.063 0.322 0.203
O: 0.408 0.148 0.502
O: 0.391 0.328 0.986
O: 0.428 0.615 0.767
O: 0.272 0.079 0.748
O: 0.592 0.852 0.498

Values from the calculation:
As for the formation energy from raw total energies: -30.0 eV/f.u. As for the space group: No. 14. The uncorrected energy comes out at -323.964 eV for the cell shown.

---

Entry 4:
Compound: Lu2PaO
Source: the Alexandria database
Functional: PBE
Structure: optimized geometry

Lattice parameters (Å, degrees): 3.226 3.226 9.368 80.08 80.08 60.00
Last column: magnetic moment on the atom in μB.
Sites, in units of the cell vectors:
Pa: 0.000 0.000 0.000  -0.28
Lu: 0.116 0.116 0.652  -0.01
Lu: 0.884 0.884 0.348  -0.01
O: 0.500 0.500 0.500  0.00

Values from the calculation:
As for the formation energy from raw total energies: -4.4 eV/f.u. As for the space group: No. 166. The uncorrected energy comes out at -27.881 eV for the cell shown.

---

Entry 5:
Compound: Lu5Pa3O12
Source: the Alexandria database
Functional: PBE
Structure: optimized geometry

Lattice parameters (Å, degrees): 11.566 11.566 11.566 109.47 109.47 109.47
Last column: magnetic moment on the atom in μB.
Sites, in units of the cell vectors:
Pa: 0.750 0.375 0.125  1.46
Pa: 0.875 0.750 0.125  1.46
Pa: 0.375 0.750 0.625  1.46
Pa: 0.250 0.125 0.375  1.46
Pa: 0.875 0.125 0.250  1.46
Pa: 0.375 0.625 0.250  1.46
Pa: 0.625 0.375 0.750  1.46
Pa: 0.125 0.875 0.750  1.46
Pa: 0.750 0.875 0.625  1.46
Pa: 0.625 0.250 0.375  1.46
Pa: 0.125 0.250 0.875  1.46
Pa: 0.250 0.625 0.875  1.46
Lu: 0.125 0.375 0.250  0.15
Lu: 0.000 0.500 0.000  0.07
Lu: 0.000 0.000 0.000  0.07
Lu: 0.375 0.250 0.125  0.15
Lu: 0.500 0.000 0.500  0.07
Lu: 0.500 0.500 0.000  0.07
Lu: 0.125 0.750 0.375  0.15
Lu: 0.750 0.125 0.875  0.15
Lu: 0.750 0.625 0.375  0.15
Lu: 0.375 0.125 0.750  0.15
Lu: 0.625 0.875 0.250  0.15
Lu: 0.500 0.500 0.500  0.07
Lu: 0.500 0.000 0.000  0.07
Lu: 0.000 0.000 0.500  0.07
Lu: 0.250 0.375 0.625  0.15
Lu: 0.250 0.875 0.125  0.15
Lu: 0.000 0.500 0.500  0.07
Lu: 0.875 0.250 0.625  0.15
Lu: 0.625 0.750 0.875  0.15
Lu: 0.875 0.625 0.750  0.15
O: 0.716 0.129 0.042  -0.01
O: 0.326 0.542 0.413  -0.01
O: 0.958 0.371 0.284  -0.01
O: 0.542 0.216 0.129  -0.01
O: 0.587 0.716 0.674  -0.01
O: 0.958 0.587 0.174  -0.01
O: 0.326 0.784 0.413  -0.01
O: 0.087 0.913 0.129  -0.01
O: 0.587 0.958 0.674  -0.01
O: 0.716 0.587 0.174  -0.01
O: 0.784 0.458 0.371  -0.01
O: 0.826 0.913 0.042  -0.01
O: 0.129 0.716 0.542  -0.01
O: 0.371 0.413 0.087  -0.01
O: 0.087 0.913 0.371  -0.01
O: 0.413 0.129 0.587  -0.01
O: 0.087 0.174 0.216  -0.01
O: 0.458 0.674 0.087  -0.01
O: 0.826 0.913 0.284  -0.01
O: 0.129 0.413 0.087  -0.01
O: 0.371 0.958 0.784  -0.01
O: 0.587 0.629 0.413  -0.01
O: 0.913 0.826 0.542  -0.01
O: 0.784 0.326 0.913  -0.01
O: 0.413 0.371 0.587  -0.01
O: 0.087 0.174 0.458  -0.01
O: 0.216 0.674 0.087  -0.01
O: 0.174 0.087 0.716  -0.01
O: 0.629 0.042 0.216  -0.01
O: 0.871 0.587 0.913  -0.01
O: 0.542 0.326 0.913  -0.01
O: 0.587 0.871 0.413  -0.01
O: 0.913 0.826 0.784  -0.01
O: 0.913 0.087 0.629  -0.01
O: 0.871 0.284 0.458  -0.01
O: 0.174 0.087 0.958  -0.01
O: 0.629 0.587 0.913  -0.01
O: 0.413 0.042 0.326  -0.01
O: 0.284 0.413 0.826  -0.01
O: 0.216 0.542 0.629  -0.01
O: 0.913 0.087 0.871  -0.01
O: 0.674 0.216 0.587  -0.01
O: 0.458 0.784 0.871  -0.01
O: 0.042 0.413 0.826  -0.01
O: 0.413 0.284 0.326  -0.01
O: 0.042 0.629 0.716  -0.01
O: 0.674 0.458 0.587  -0.01
O: 0.284 0.871 0.958  -0.01

Values from the calculation:
As for the formation energy from raw total energies: -63.3 eV/f.u. As for the space group: No. 230. The uncorrected energy comes out at -695.439 eV for the cell shown.

---

Entry 6:
Compound: Lu2Pb2O7
Source: the Alexandria database
Functional: PBE
Structure: optimized geometry

Lattice parameters (Å, degrees): 7.521 7.521 7.521 60.00 60.00 60.00
Sites, in units of the cell vectors:
Lu: 0.625 0.625 0.125
Lu: 0.625 0.625 0.625
Lu: 0.625 0.125 0.625
Lu: 0.125 0.625 0.625
Pb: 0.125 0.125 0.125
Pb: 0.625 0.125 0.125
Pb: 0.125 0.125 0.625
Pb: 0.125 0.625 0.125
O: 0.022 0.478 0.478
O: 0.772 0.772 0.228
O: 0.772 0.228 0.228
O: 0.478 0.022 0.478
O: 0.750 0.750 0.750
O: 0.022 0.478 0.022
O: 0.022 0.022 0.478
O: 0.228 0.772 0.228
O: 0.228 0.228 0.772
O: 0.772 0.228 0.772
O: 0.500 0.500 0.500
O: 0.478 0.022 0.022
O: 0.478 0.478 0.022
O: 0.228 0.772 0.772

Values from the calculation:
As for the formation energy from raw total energies: -23.0 eV/f.u. As for the space group: No. 227. The uncorrected energy comes out at -148.370 eV for the cell shown.

---

- Among the records above, which one has the lowest uncorrected energy?
  Lu5Pa3O12

---

- Which of these has the highest formation energy from raw total energies?
  Lu2PaO

---

Repeat the fourth record exactly.
Compound: Lu2PaO
Source: the Alexandria database
Functional: PBE
Structure: optimized geometry

Lattice parameters (Å, degrees): 3.226 3.226 9.368 80.08 80.08 60.00
Last column: magnetic moment on the atom in μB.
Sites, in units of the cell vectors:
Pa: 0.000 0.000 0.000  -0.28
Lu: 0.116 0.116 0.652  -0.01
Lu: 0.884 0.884 0.348  -0.01
O: 0.500 0.500 0.500  0.00

Values from the calculation:
As for the formation energy from raw total energies: -4.4 eV/f.u. As for the space group: No. 166. The uncorrected energy comes out at -27.881 eV for the cell shown.

---

- Which value of uncorrected energy does entry 6 give?
  -148.370 eV for the cell shown